# 1
NbRe2B (PBE-GGA, relaxed); total magnetization = 0.000 μB/cell; V = 14.10 Å³ per atom; DFT total energy = -0.7585 Ry/atom; energy of formation from the pure elements = 91.2 meV per atom
1.0
2.9932 0.0000 0.0000
0.0000 4.2375 0.0000
-1.4966 0.0000 8.8957
Nb Re B
2 4 2
Direct
0.3843 0.2500 0.7686
0.6157 0.7500 0.2314
0.7499 0.2500 0.4998
0.9638 0.7500 0.9277
0.0362 0.2500 0.0723
0.2501 0.7500 0.5002
0.8424 0.7500 0.6848
0.1576 0.2500 0.3152

***

# 2
ScTeBr (PBE-GGA, relaxed); total magnetization = 0.000 μB/cell; V = 33.25 Å³ per atom; DFT total energy = -0.3758 Ry/atom; formation energy (no corrections) = -1.398 eV/atom
1.0
-0.7807 3.7119 -1.3117
-3.0152 -2.4380 1.0357
0.3314 2.4414 6.7118
Sc Te Br
1 1 1
Direct
0.6667 0.3333 0.5642
0.0000 0.0000 0.3347
0.3333 0.6667 0.7948

***

# 3
CrSbAs2 (PBE-GGA, relaxed); total magnetization = 0.833 μB/cell; V = 19.62 Å³ per atom; DFT total energy = -0.4129 Ry/atom; formation energy (no corrections) = 0.143 eV/atom
1.0
3.1478 0.0000 0.0000
1.5739 2.7261 0.0000
1.5739 0.9087 9.1440
Sb As Cr
1 2 1
Direct
0.4933 0.4933 0.5201
0.2741 0.2741 0.1776
0.0633 0.0633 0.8102
0.6693 0.6693 0.9920

***

# 4
Al2SiGe2 (PBE-GGA, relaxed); total magnetization = 0.000 μB/cell; V = 17.94 Å³ per atom; DFT total energy = -0.3021 Ry/atom; formation energy (no corrections) = 0.318 eV/atom
1.0
7.7600 0.0000 0.0000
0.0000 7.7600 0.0000
0.0000 0.0000 2.9786
Ge Al Si
4 4 2
Direct
0.3366 0.8366 0.0000
0.6634 0.1634 0.0000
0.8366 0.6634 0.0000
0.1634 0.3366 0.0000
0.6353 0.8647 0.5000
0.8647 0.3647 0.5000
0.3647 0.1353 0.5000
0.1353 0.6353 0.5000
0.0000 0.0000 0.0000
0.5000 0.5000 0.0000